(1)
{
  "formula": "Li2YCl",
  "functional": "SCAN",
  "state": "PBEsol geometry",
  "cell": [[3.195, 0.000, 0.000], [-1.597, 5.123, -0.010], [0.000, -2.601, 5.177]],
  "species": ["Li", "Li", "Cl", "Y"],
  "fractional_positions": [[0.932, 0.865, 0.022], [0.726, 0.451, 0.239], [0.288, 0.575, 0.624], [0.554, 0.109, 0.615]],
  "dos_at_fermi_per_ev_fu": 1.9,
  "sg": "No. 8",
  "e_form_raw_ev_per_atom": -0.641,
  "e_above_lowest_polymorph_ev_per_atom": 0.135,
  "final_energy_ev_per_fu": -43.2
}

(2)
{
  "formula": "LiZrCl2",
  "functional": "SCAN",
  "state": "PBEsol geometry",
  "cell": [[4.491, 0.000, 0.000], [-2.245, 3.889, 0.058], [0.000, 2.538, 3.705]],
  "species": ["Zr", "Cl", "Cl", "Li"],
  "fractional_positions": [[0.000, 0.000, 0.000], [0.750, 0.500, 0.750], [0.250, 0.500, 0.250], [0.500, 0.000, 0.500]],
  "dos_at_fermi_per_ev_fu": 2.4,
  "sg": "No. 225",
  "e_form_raw_ev_per_atom": -0.852,
  "e_above_lowest_polymorph_ev_per_atom": 0.429,
  "final_energy_ev_per_fu": -52.5
}

(3)
{
  "formula": "LiZrCl2",
  "functional": "SCAN",
  "state": "PBEsol geometry",
  "cell": [[3.228, 0.000, 0.000], [0.000, 3.228, 0.000], [0.000, 0.000, 6.357]],
  "species": ["Zr", "Li", "Cl", "Cl"],
  "fractional_positions": [[0.500, 0.500, 0.500], [0.500, 0.500, 0.000], [0.000, 0.000, 0.260], [0.000, 0.000, 0.740]],
  "dos_at_fermi_per_ev_fu": 1.6,
  "sg": "No. 123",
  "e_form_raw_ev_per_atom": -1.027,
  "e_above_lowest_polymorph_ev_per_atom": 0.254,
  "final_energy_ev_per_fu": -53.2
}

(4)
{
  "formula": "LiZr3Cl",
  "functional": "SCAN",
  "state": "PBEsol geometry",
  "cell": [[4.774, 0.000, 0.000], [0.000, 4.774, 0.000], [0.000, 0.000, 4.774]],
  "species": ["Zr", "Zr", "Zr", "Cl", "Li"],
  "fractional_positions": [[0.000, 0.500, 0.000], [0.500, 0.000, 0.000], [0.000, 0.000, 0.500], [0.000, 0.000, 0.000], [0.500, 0.500, 0.500]],
  "dos_at_fermi_per_ev_fu": 4.6,
  "sg": "No. 221",
  "e_form_raw_ev_per_atom": 0.037,
  "final_energy_ev_per_fu": -102.3
}

(5)
{
  "formula": "LiZrCl2",
  "functional": "SCAN",
  "state": "PBEsol geometry",
  "cell": [[-1.786, 1.956, 1.778], [-2.001, -2.147, 3.215], [2.917, 0.534, 5.205]],
  "species": ["Li", "Cl", "Cl", "Zr"],
  "fractional_positions": [[0.500, 0.000, 0.000], [0.222, 0.814, 0.743], [0.778, 0.186, 0.257], [0.000, 0.500, 0.500]],
  "dos_at_fermi_per_ev_fu": 0.8,
  "sg": "No. 12",
  "e_form_raw_ev_per_atom": -1.149,
  "e_above_lowest_polymorph_ev_per_atom": 0.132,
  "final_energy_ev_per_fu": -53.6
}

(6)
{
  "formula": "LiZrCl2",
  "functional": "SCAN",
  "state": "PBEsol geometry",
  "cell": [[3.121, 0.000, 0.000], [-1.560, 3.075, 0.000], [0.000, 0.000, 7.768]],
  "species": ["Zr", "Cl", "Cl", "Li"],
  "fractional_positions": [[0.500, 0.000, 0.000], [0.000, 0.000, 0.275], [0.000, 0.000, 0.725], [0.500, 0.000, 0.500]],
  "dos_at_fermi_per_ev_fu": 1.0,
  "sg": "No. 65",
  "e_form_raw_ev_per_atom": -1.281,
  "e_above_lowest_polymorph_ev_per_atom": 0.000,
  "final_energy_ev_per_fu": -54.2
}

What did the fifth record say?
{
  "formula": "LiZrCl2",
  "functional": "SCAN",
  "state": "PBEsol geometry",
  "cell": [[-1.786, 1.956, 1.778], [-2.001, -2.147, 3.215], [2.917, 0.534, 5.205]],
  "species": ["Li", "Cl", "Cl", "Zr"],
  "fractional_positions": [[0.500, 0.000, 0.000], [0.222, 0.814, 0.743], [0.778, 0.186, 0.257], [0.000, 0.500, 0.500]],
  "dos_at_fermi_per_ev_fu": 0.8,
  "sg": "No. 12",
  "e_form_raw_ev_per_atom": -1.149,
  "e_above_lowest_polymorph_ev_per_atom": 0.132,
  "final_energy_ev_per_fu": -53.6
}

Repeat the second record exactly.
{
  "formula": "LiZrCl2",
  "functional": "SCAN",
  "state": "PBEsol geometry",
  "cell": [[4.491, 0.000, 0.000], [-2.245, 3.889, 0.058], [0.000, 2.538, 3.705]],
  "species": ["Zr", "Cl", "Cl", "Li"],
  "fractional_positions": [[0.000, 0.000, 0.000], [0.750, 0.500, 0.750], [0.250, 0.500, 0.250], [0.500, 0.000, 0.500]],
  "dos_at_fermi_per_ev_fu": 2.4,
  "sg": "No. 225",
  "e_form_raw_ev_per_atom": -0.852,
  "e_above_lowest_polymorph_ev_per_atom": 0.429,
  "final_energy_ev_per_fu": -52.5
}

What did the fifth record say?
{
  "formula": "LiZrCl2",
  "functional": "SCAN",
  "state": "PBEsol geometry",
  "cell": [[-1.786, 1.956, 1.778], [-2.001, -2.147, 3.215], [2.917, 0.534, 5.205]],
  "species": ["Li", "Cl", "Cl", "Zr"],
  "fractional_positions": [[0.500, 0.000, 0.000], [0.222, 0.814, 0.743], [0.778, 0.186, 0.257], [0.000, 0.500, 0.500]],
  "dos_at_fermi_per_ev_fu": 0.8,
  "sg": "No. 12",
  "e_form_raw_ev_per_atom": -1.149,
  "e_above_lowest_polymorph_ev_per_atom": 0.132,
  "final_energy_ev_per_fu": -53.6
}

What did the third record say?
{
  "formula": "LiZrCl2",
  "functional": "SCAN",
  "state": "PBEsol geometry",
  "cell": [[3.228, 0.000, 0.000], [0.000, 3.228, 0.000], [0.000, 0.000, 6.357]],
  "species": ["Zr", "Li", "Cl", "Cl"],
  "fractional_positions": [[0.500, 0.500, 0.500], [0.500, 0.500, 0.000], [0.000, 0.000, 0.260], [0.000, 0.000, 0.740]],
  "dos_at_fermi_per_ev_fu": 1.6,
  "sg": "No. 123",
  "e_form_raw_ev_per_atom": -1.027,
  "e_above_lowest_polymorph_ev_per_atom": 0.254,
  "final_energy_ev_per_fu": -53.2
}